[1]
VASP calculation (GGA-PBE) on a relaxed structure of AcEu2Zn.

a b c (Å): 3.9102 3.9102 11.4160
angles (deg): 80.14 80.14 60.00
Last column: nearest neighbours and their distance in Å.
Element x y z (fractional)
Ac  0.5000  0.5000  0.5000  6 Ac 3.91, 6 Eu 4.02
Eu  0.7344  0.7344  0.7969  3 Zn 3.20
Eu  0.2656  0.2656  0.2031  3 Zn 3.20
Zn  0.0000  0.0000  0.0000  6 Eu 3.20

Properties
SG ... R-3m (166)
Offset from the most stable computed form ... 82.2 meV/atom
Size of the total moment ... 15.3 μB/f.u.

=====

[2]
VASP calculation (GGA-PBE) on a relaxed structure of Tm2Be3SiPt4.

a b c (Å): 4.0482 4.0482 9.4912
angles (deg): 90.00 90.00 90.00
Last column: nearest neighbours and their distance in Å.
Element x y z (fractional)
Pt  0.5000  0.0000  0.6359  3 Be 2.29-2.40, 2 Si 2.40
Pt  0.0000  0.5000  0.3641  3 Be 2.29-2.40, 2 Si 2.40
Pt  0.0000  0.0000  0.0000  4 Be 2.34
Pt  0.5000  0.5000  0.0000  4 Be 2.34
Be  0.5000  0.0000  0.8772  5 Pt 2.29-2.34
Be  0.0000  0.0000  0.5000  4 Pt 2.40
Be  0.0000  0.5000  0.1228  5 Pt 2.29-2.34
Tm  0.5000  0.0000  0.2478  8 Pt 3.07-3.10, 6 Be 3.10-3.13, 2 Si 3.13
Tm  0.0000  0.5000  0.7522  8 Pt 3.07-3.10, 6 Be 3.10-3.13, 2 Si 3.13
Si  0.5000  0.5000  0.5000  4 Pt 2.40

Properties
SG ... P-4m2 (115)
Size of the total moment ... 0.0 μB/f.u.
E_form (uncorrected) ... -0.99 eV/atom

=====

[3]
VASP calculation (GGA-PBE) on a relaxed structure of Ba2Ga7Pd12.

a b c (Å): 4.1863 10.2181 10.2181
angles (deg): 120.00 90.00 90.00
Last column: nearest neighbours and their distance in Å.
Element x y z (fractional)
Pd  0.5000  0.3879  0.3030  4 Ga 2.65-2.78, 5 Pd 2.89-2.91
Pd  0.0000  0.0538  0.5238  4 Ga 2.47-2.58
Pd  0.0000  0.4762  0.5301  4 Ga 2.47-2.58
Pd  0.0000  0.9245  0.2020  4 Ga 2.56-2.65, 1 Pd 2.87
Pd  0.5000  0.2301  0.4714  5 Ga 2.55-2.72
Pd  0.5000  0.5286  0.7588  5 Ga 2.55-2.72
Pd  0.0000  0.2775  0.0755  4 Ga 2.56-2.65, 1 Pd 2.87
Pd  0.5000  0.6970  0.0849  4 Ga 2.65-2.78, 5 Pd 2.89-2.91
Pd  0.0000  0.4699  0.9462  4 Ga 2.47-2.58
Pd  0.0000  0.7980  0.7225  4 Ga 2.56-2.65, 1 Pd 2.87
Pd  0.5000  0.2412  0.7699  5 Ga 2.55-2.72
Pd  0.5000  0.9151  0.6121  4 Ga 2.65-2.78, 5 Pd 2.89-2.91
Ga  0.5000  0.9437  0.3550  7 Pd 2.55-2.78
Ga  0.0000  0.0804  0.7819  7 Pd 2.51-2.70
Ga  0.0000  0.7015  0.9196  7 Pd 2.51-2.70
Ga  0.5000  0.6450  0.5887  7 Pd 2.55-2.78
Ga  0.5000  0.4113  0.0563  7 Pd 2.55-2.78
Ga  0.0000  0.3333  0.6667  9 Pd 2.47-2.72
Ga  0.0000  0.2181  0.2985  7 Pd 2.51-2.70
Ba  0.0000  0.6667  0.3333  12 Pd 3.42-3.50, 6 Ga 3.44
Ba  0.5000  0.0000  0.0000  9 Pd 3.29-3.61, 6 Ga 3.44

Properties
SG ... P-6 (174)
Raw total energy ... -4.80 eV per atom
Size of the total moment ... 0.0 μB/f.u.

=====

[4]
VASP calculation (GGA-PBE) on a relaxed structure of ScZn6Ag12.

a b c (Å): 7.2141 7.2141 7.2141
angles (deg): 102.36 102.36 102.36
Last column: nearest neighbours and their distance in Å.
Element x y z (fractional)
Ag  0.0002  0.2615  0.7382  6 Ag 2.83-3.00, 4 Zn 2.84-2.99, 1 Sc 2.94
Ag  0.8094  0.4127  0.4121  5 Ag 2.66-2.83, 3 Zn 2.88-2.93
Ag  0.4121  0.8094  0.4127  5 Ag 2.66-2.83, 3 Zn 2.88-2.93
Ag  0.7382  0.0002  0.2615  6 Ag 2.83-3.00, 4 Zn 2.84-2.99, 1 Sc 2.94
Ag  0.5879  0.1906  0.5873  5 Ag 2.66-2.83, 3 Zn 2.88-2.93
Ag  0.1906  0.5873  0.5879  5 Ag 2.66-2.83, 3 Zn 2.88-2.93
Ag  0.7385  0.2618  0.9998  6 Ag 2.83-3.00, 4 Zn 2.84-2.99, 1 Sc 2.94
Ag  0.4127  0.4121  0.8094  5 Ag 2.66-2.83, 3 Zn 2.88-2.93
Ag  0.5873  0.5879  0.1906  5 Ag 2.66-2.83, 3 Zn 2.88-2.93
Ag  0.2615  0.7382  0.0002  6 Ag 2.83-3.00, 4 Zn 2.84-2.99, 1 Sc 2.94
Ag  0.9998  0.7385  0.2618  6 Ag 2.83-3.00, 4 Zn 2.84-2.99, 1 Sc 2.94
Ag  0.2618  0.9998  0.7385  6 Ag 2.83-3.00, 4 Zn 2.84-2.99, 1 Sc 2.94
Sc  0.0000  0.0000  0.0000  6 Zn 2.92, 6 Ag 2.94
Zn  0.8255  0.8261  0.5760  2 Zn 2.81, 7 Ag 2.84-2.99, 1 Sc 2.92
Zn  0.1739  0.4240  0.1745  2 Zn 2.81, 7 Ag 2.84-2.99, 1 Sc 2.92
Zn  0.4240  0.1745  0.1739  2 Zn 2.81, 7 Ag 2.84-2.99, 1 Sc 2.92
Zn  0.5760  0.8255  0.8261  2 Zn 2.81, 7 Ag 2.84-2.99, 1 Sc 2.92
Zn  0.1745  0.1739  0.4240  2 Zn 2.81, 7 Ag 2.84-2.99, 1 Sc 2.92
Zn  0.8261  0.5760  0.8255  2 Zn 2.81, 7 Ag 2.84-2.99, 1 Sc 2.92

Properties
SG ... R-3m (166)
Raw total energy ... -2.50 eV per atom
Size of the total moment ... 0.0 μB/f.u.

=====

[5]
VASP calculation (GGA-PBE) on a relaxed structure of Tm3Fe8Ru.

a b c (Å): 4.9995 4.9995 8.6588
angles (deg): 73.22 73.22 60.00
Last column: nearest neighbours and their distance in Å.
Element x y z (fractional)
Tm  0.5040  0.5040  0.4880  12 Fe 2.82-2.96, 3 Ru 3.02, 1 Tm 3.14
Tm  0.9948  0.9948  0.0157  12 Fe 2.88-3.09, 1 Ru 2.97, 3 Tm 3.11
Tm  0.3757  0.3757  0.8730  12 Fe 2.93-2.97, 4 Tm 3.11-3.14
Ru  0.8736  0.8736  0.3793  12 Fe 2.85-2.93, 4 Tm 2.97-3.02
Fe  0.4355  0.4355  0.1919  6 Fe 2.46-2.53
Fe  0.6876  0.6876  0.9373  6 Fe 2.53
Fe  0.9386  0.4413  0.6816  6 Fe 2.47-2.53
Fe  0.9371  0.4355  0.1919  6 Fe 2.46-2.53
Fe  0.4355  0.9371  0.1919  6 Fe 2.46-2.53
Fe  0.9386  0.9386  0.6816  6 Fe 2.47-2.53
Fe  0.1880  0.1880  0.4361  6 Fe 2.46-2.47
Fe  0.4413  0.9386  0.6816  6 Fe 2.47-2.53

Properties
SG ... R3m (160)
Raw total energy ... -7.61 eV per atom
Size of the total moment ... 16.0 μB/f.u.

=====

[6]
VASP calculation (GGA-PBE) on a relaxed structure of BeInW2.

a b c (Å): 4.4518 4.4518 4.4518
angles (deg): 60.00 60.00 60.00
Last column: nearest neighbours and their distance in Å.
Element x y z (fractional)
In  0.5000  0.5000  0.5000  8 W 2.73
W  0.7500  0.7500  0.7500  4 In 2.73, 4 Be 2.73
W  0.2500  0.2500  0.2500  4 In 2.73, 4 Be 2.73
Be  0.0000  0.0000  0.0000  8 W 2.73

Properties
SG ... Fm-3m (225)
Offset from the most stable computed form ... 553.7 meV/atom
Size of the total moment ... 0.0 μB/f.u.

=====

| no. | theoretical density (g/cm3) |
| --- | --- |
| 1 | 6.68 |
| 2 | 12.53 |
| 3 | 8.95 |
| 4 | 8.34 |
| 5 | 9.91 |
| 6 | 13.08 |